1.
Density functional theory data (PBE-GGA) for crystalline RbTiZn2F8 at its relaxed geometry.

Values from the calculation:
Its calculated volume is 198.8 Å³ per cell. The value obtained for the total moment is 1.00 μB per cell. The value obtained for the density of states at the Fermi level is 0.56 states/eV/atom. The symmetry is R-3. The value obtained for the formation energy from raw total energies is -2.67 eV per atom.

Lattice parameters (Å, degrees): 8.684 8.684 8.684 35.64 35.64 35.64
Fractional coordinates of all 12 atoms:
Rb: 0.000 0.000 0.000
Ti: 0.500 0.500 0.500
Zn: 0.243 0.243 0.243
Zn: 0.757 0.757 0.757
F: 0.145 0.753 0.458
F: 0.247 0.542 0.855
F: 0.319 0.319 0.319
F: 0.458 0.145 0.753
F: 0.542 0.855 0.247
F: 0.681 0.681 0.681
F: 0.753 0.458 0.145
F: 0.855 0.247 0.542

2.
Density functional theory data (PBE-GGA) for crystalline Rb2ZrTiF6 at its relaxed geometry.

Values from the calculation:
Its calculated volume is 169.5 Å³ per cell. The value obtained for the total moment is 4.00 μB per cell. The value obtained for the density of states at the Fermi level is 0.92 states/eV/atom. The symmetry is I4/mmm. The value obtained for the formation energy from raw total energies is -2.68 eV per atom.

Lattice parameters (Å, degrees): 6.209 6.209 6.209 119.92 119.92 90.14
Fractional coordinates of all 10 atoms:
Rb: 0.250 0.750 0.500
Rb: 0.750 0.250 0.500
Zr: 0.000 0.000 0.000
Ti: 0.500 0.500 0.000
F: 0.256 0.256 0.000
F: 0.256 0.256 0.512
F: 0.256 0.744 0.000
F: 0.744 0.256 0.000
F: 0.744 0.744 0.000
F: 0.744 0.744 0.488

3.
Density functional theory data (PBE-GGA) for crystalline RbTl2F8 at its relaxed geometry.

Values from the calculation:
Its calculated volume is 169.8 Å³ per cell. As for the energy above the most stable polymorph in this dataset: 0.00 eV per formula unit. The value obtained for the total moment is 1.14 μB per cell. The symmetry is C2/m. The value obtained for the formation energy from raw total energies is -1.85 eV per atom.

Lattice parameters (Å, degrees): 6.714 6.714 4.292 91.85 91.85 118.45
Fractional coordinates of all 11 atoms:
Rb: 0.000 0.000 0.000
Tl: 0.310 0.690 0.500
Tl: 0.690 0.310 0.500
F: 0.057 0.337 0.525
F: 0.261 0.739 0.000
F: 0.337 0.057 0.525
F: 0.446 0.446 0.209
F: 0.554 0.554 0.791
F: 0.663 0.943 0.475
F: 0.739 0.261 0.000
F: 0.943 0.663 0.475

4.
Density functional theory data (PBE-GGA) for crystalline Rb5TlF6 at its relaxed geometry.

Values from the calculation:
Its calculated volume is 281.2 Å³ per cell. The value obtained for the total moment is 0.00 μB per cell. The value obtained for the density of states at the Fermi level is 0.00 states/eV/atom. The symmetry is C2/m. The value obtained for the formation energy from raw total energies is -2.51 eV per atom.

Lattice parameters (Å, degrees): 7.010 7.010 7.008 99.59 99.59 120.01
Fractional coordinates of all 12 atoms:
Rb: 0.000 0.000 0.000
Rb: 0.167 0.833 0.500
Rb: 0.334 0.666 0.000
Rb: 0.666 0.334 0.000
Rb: 0.833 0.167 0.500
Tl: 0.500 0.500 0.500
F: 0.085 0.417 0.250
F: 0.252 0.252 0.748
F: 0.417 0.085 0.250
F: 0.583 0.915 0.750
F: 0.748 0.748 0.252
F: 0.915 0.583 0.750

5.
Density functional theory data (PBE-GGA) for crystalline Rb3Tl2F7 at its relaxed geometry.

Values from the calculation:
Its calculated volume is 260.5 Å³ per cell. The value obtained for the total moment is 0.00 μB per cell. The value obtained for the density of states at the Fermi level is 0.15 states/eV/atom. The symmetry is Cmmm. The value obtained for the formation energy from raw total energies is -2.21 eV per atom.

Lattice parameters (Å, degrees): 11.861 11.861 4.627 90.00 90.00 156.41
Fractional coordinates of all 12 atoms:
Rb: 0.000 0.000 0.000
Rb: 0.188 0.812 0.000
Rb: 0.812 0.188 0.000
Tl: 0.396 0.604 0.500
Tl: 0.604 0.396 0.500
F: 0.101 0.899 0.500
F: 0.296 0.704 0.500
F: 0.395 0.605 0.000
F: 0.500 0.500 0.500
F: 0.605 0.395 0.000
F: 0.704 0.296 0.500
F: 0.899 0.101 0.500

6.
Density functional theory data (PBE-GGA) for crystalline Rb3Tl5F12 at its relaxed geometry.

Values from the calculation:
Its calculated volume is 1849.8 Å³ per cell. The value obtained for the total moment is 0.00 μB per cell. The value obtained for the density of states at the Fermi level is 0.00 states/eV/atom. The symmetry is Ia-3d. The value obtained for the formation energy from raw total energies is -2.13 eV per atom.

Lattice parameters (Å, degrees): 13.394 13.394 13.394 109.47 109.47 109.47
Fractional coordinates of all 80 atoms:
Rb: 0.125 0.250 0.375
Rb: 0.125 0.375 0.750
Rb: 0.250 0.375 0.125
Rb: 0.250 0.875 0.625
Rb: 0.375 0.125 0.250
Rb: 0.375 0.750 0.125
Rb: 0.625 0.250 0.875
Rb: 0.625 0.875 0.750
Rb: 0.750 0.125 0.375
Rb: 0.750 0.625 0.875
Rb: 0.875 0.625 0.250
Rb: 0.875 0.750 0.625
Tl: 0.000 0.000 0.000
Tl: 0.000 0.000 0.500
Tl: 0.000 0.500 0.000
Tl: 0.000 0.500 0.500
Tl: 0.125 0.750 0.875
Tl: 0.125 0.875 0.250
Tl: 0.250 0.125 0.875
Tl: 0.250 0.625 0.375
Tl: 0.375 0.250 0.625
Tl: 0.375 0.625 0.750
Tl: 0.500 0.000 0.000
Tl: 0.500 0.000 0.500
Tl: 0.500 0.500 0.000
Tl: 0.500 0.500 0.500
Tl: 0.625 0.375 0.250
Tl: 0.625 0.750 0.375
Tl: 0.750 0.375 0.625
Tl: 0.750 0.875 0.125
Tl: 0.875 0.125 0.750
Tl: 0.875 0.250 0.125
F: 0.030 0.186 0.103
F: 0.030 0.344 0.927
F: 0.073 0.603 0.417
F: 0.073 0.970 0.656
F: 0.083 0.686 0.656
F: 0.083 0.897 0.427
F: 0.103 0.030 0.186
F: 0.103 0.573 0.917
F: 0.156 0.186 0.583
F: 0.156 0.470 0.573
F: 0.186 0.103 0.030
F: 0.186 0.583 0.156
F: 0.314 0.344 0.917
F: 0.314 0.470 0.397
F: 0.344 0.917 0.314
F: 0.344 0.927 0.030
F: 0.397 0.314 0.470
F: 0.397 0.583 0.927
F: 0.417 0.073 0.603
F: 0.417 0.844 0.814
F: 0.427 0.083 0.897
F: 0.427 0.844 0.530
F: 0.470 0.397 0.314
F: 0.470 0.573 0.156
F: 0.530 0.427 0.844
F: 0.530 0.603 0.686
F: 0.573 0.156 0.470
F: 0.573 0.917 0.103
F: 0.583 0.156 0.186
F: 0.583 0.927 0.397
F: 0.603 0.417 0.073
F: 0.603 0.686 0.530
F: 0.656 0.073 0.970
F: 0.656 0.083 0.686
F: 0.686 0.530 0.603
F: 0.686 0.656 0.083
F: 0.814 0.417 0.844
F: 0.814 0.897 0.970
F: 0.844 0.530 0.427
F: 0.844 0.814 0.417
F: 0.897 0.427 0.083
F: 0.897 0.970 0.814
F: 0.917 0.103 0.573
F: 0.917 0.314 0.344
F: 0.927 0.030 0.344
F: 0.927 0.397 0.583
F: 0.970 0.656 0.073
F: 0.970 0.814 0.897

7.
Density functional theory data (PBE-GGA) for crystalline RbTlF3 at its relaxed geometry.

Values from the calculation:
Its calculated volume is 428.3 Å³ per cell. The value obtained for the total moment is 0.00 μB per cell. The value obtained for the density of states at the Fermi level is 0.00 states/eV/atom. The symmetry is P2_1/c. The value obtained for the formation energy from raw total energies is -2.19 eV per atom.

Lattice parameters (Å, degrees): 8.593 5.715 9.210 90.00 108.76 90.00
Fractional coordinates of all 20 atoms:
Rb: 0.169 0.227 0.159
Rb: 0.169 0.273 0.659
Rb: 0.831 0.727 0.341
Rb: 0.831 0.773 0.841
Tl: 0.401 0.699 0.467
Tl: 0.401 0.801 0.967
Tl: 0.599 0.199 0.033
Tl: 0.599 0.301 0.533
F: 0.142 0.567 0.385
F: 0.142 0.933 0.885
F: 0.329 0.068 0.462
F: 0.329 0.432 0.962
F: 0.370 0.717 0.713
F: 0.370 0.783 0.213
F: 0.630 0.217 0.787
F: 0.630 0.283 0.287
F: 0.671 0.568 0.038
F: 0.671 0.932 0.538
F: 0.858 0.067 0.115
F: 0.858 0.433 0.615

8.
Density functional theory data (PBE-GGA) for crystalline RbTlF3 at its relaxed geometry.

Values from the calculation:
Its calculated volume is 214.6 Å³ per cell. The value obtained for the total moment is 0.00 μB per cell. The value obtained for the density of states at the Fermi level is 0.00 states/eV/atom. The symmetry is I-4m2. The value obtained for the formation energy from raw total energies is -1.98 eV per atom.

Lattice parameters (Å, degrees): 8.896 8.896 8.896 146.41 146.41 48.24
Fractional coordinates of all 10 atoms:
Rb: 0.101 0.101 0.000
Rb: 0.899 0.899 0.000
Tl: 0.500 0.500 0.000
Tl: 0.750 0.250 0.500
F: 0.036 0.536 0.500
F: 0.142 0.385 0.757
F: 0.464 0.964 0.500
F: 0.615 0.372 0.757
F: 0.615 0.858 0.243
F: 0.628 0.385 0.243

9.
Density functional theory data (PBE-GGA) for crystalline RbTl3F at its relaxed geometry.

Values from the calculation:
Its calculated volume is 308.4 Å³ per cell. As for the energy above the most stable polymorph in this dataset: 4.70 eV per formula unit. The value obtained for the total moment is 0.00 μB per cell. The value obtained for the density of states at the Fermi level is 0.87 states/eV/atom. The symmetry is Pm-3m. The value obtained for the formation energy from raw total energies is 0.34 eV per atom.

Lattice parameters (Å, degrees): 6.756 6.756 6.756 90.00 90.00 90.00
Fractional coordinates of all 5 atoms:
Rb: 0.000 0.000 0.000
Tl: 0.000 0.000 0.500
Tl: 0.000 0.500 0.000
Tl: 0.500 0.000 0.000
F: 0.500 0.500 0.500